Material: Sc2NiH2
Method: DFT, GGA-PBEsol
State: relaxed

Structure (POSCAR):
```
Sc2NiH2
1.0
-1.589 1.589 5.628
1.589 -1.589 5.628
1.589 1.589 -5.628
Sc Ni H
2 1 2
direct
0.140 0.140 0.000
0.860 0.860 0.000
0.500 0.500 0.000
0.250 0.750 0.500
0.750 0.250 0.500
```

Summary:
DOS(E_F) (states/eV/atom): 0.496
Electronic total energy (eV per atom): -5.776